Crystalline Cs2KAg2I7 at its relaxed geometry, computed with GGA-PBE.

The structure in POSCAR format:
```
Cs2KAg2I7
1.0
5.863 -0.003 0.015
0.004 5.863 0.015
2.892 2.889 15.146
Cs Ag I K
2 2 7 1
direct
0.823 0.823 0.355
0.177 0.177 0.645
0.403 0.403 0.194
0.597 0.597 0.806
0.307 0.307 0.385
0.413 0.913 0.173
0.913 0.413 0.173
0.693 0.693 0.615
0.587 0.087 0.827
0.500 0.500 0.000
0.087 0.587 0.827
0.000 0.000 0.000
```

Values from the calculation:
**Volume**: 520.2 Å³ per cell
**Energy**: -0.178 Ry per atom

---

Crystalline CsKAgI3 at its relaxed geometry, computed with GGA-PBE.

The structure in POSCAR format:
```
CsKAgI3
1.0
4.908 0.000 0.000
0.000 10.907 0.150
0.000 -2.724 10.872
K I Ag Cs
2 6 2 2
direct
0.750 0.345 0.852
0.250 0.655 0.148
0.250 0.565 0.826
0.750 0.192 0.520
0.250 0.103 0.850
0.250 0.808 0.480
0.750 0.897 0.150
0.750 0.435 0.174
0.750 0.922 0.408
0.250 0.078 0.592
0.750 0.813 0.778
0.250 0.187 0.222
```

Values from the calculation:
**Volume**: 584.0 Å³ per cell
**Energy**: -0.196 Ry per atom

---

Crystalline CsKAgI4 at its relaxed geometry, computed with GGA-PBE.

The structure in POSCAR format:
```
CsKAgI4
1.0
8.924 0.000 0.213
0.000 6.880 0.000
-3.234 0.000 10.454
I Ag K Cs
8 2 2 2
direct
0.002 0.992 0.736
0.002 0.508 0.736
0.593 0.250 0.413
0.998 0.492 0.264
0.407 0.750 0.587
0.998 0.008 0.264
0.433 0.750 0.142
0.567 0.250 0.858
0.266 0.750 0.326
0.734 0.250 0.674
0.723 0.750 0.439
0.277 0.250 0.561
0.270 0.250 0.062
0.730 0.750 0.938
```

Values from the calculation:
**Volume**: 646.7 Å³ per cell
**Energy**: -0.183 Ry per atom

---

Crystalline Cs2KAgI4 at its relaxed geometry, computed with GGA-PBE.

The structure in POSCAR format:
```
Cs2KAgI4
1.0
5.092 0.000 0.000
-2.546 8.085 0.000
0.000 0.000 19.811
Cs K Ag I
4 2 2 8
direct
0.356 0.711 0.562
0.356 0.711 0.938
0.644 0.289 0.438
0.644 0.289 0.062
0.108 0.216 0.750
0.892 0.784 0.250
0.818 0.637 0.750
0.182 0.363 0.250
0.416 0.831 0.750
0.299 0.597 0.360
0.584 0.169 0.250
0.701 0.403 0.860
0.299 0.597 0.140
0.000 0.000 0.000
0.000 0.000 0.500
0.701 0.403 0.640
```

Values from the calculation:
**Volume**: 815.6 Å³ per cell
**Energy**: -0.194 Ry per atom